Entry 1:
DFT (PBE-GGA) results for a relaxed structure of Al5Zn2Ag.

Cell: 4.849 4.851 12.829 Å, 90.62 90.69 110.41°
Space group P-1 (No. 2)
Symmetry-distinct sites (fractional):
Al 0.018 0.258 0.053 (multiplicity 2)
Al 0.025 0.253 0.839 (multiplicity 2)
Al 0.201 0.801 0.750 (multiplicity 2)
Al 0.252 0.024 0.339 (multiplicity 2)
Al 0.258 0.018 0.553 (multiplicity 2)
Zn 0.239 0.504 0.455 (multiplicity 2)
Zn 0.496 0.761 0.045 (multiplicity 2)
Ag 0.427 0.573 0.250 (multiplicity 2)

Results
Energy relative to the elements, eV/atom: 0.087



Entry 2:
DFT (PBE-GGA) results for a relaxed structure of K3Pu3MnS8.

Cell: 13.995 7.859 8.776 Å, 90.00 122.08 90.00°
Space group C2/m (No. 12)
Symmetry-distinct sites (fractional):
K 0.000 0.000 0.000 (multiplicity 2)
K 0.250 0.250 0.000 (multiplicity 4)
Pu 0.000 0.500 0.500 (multiplicity 2)
Pu 0.250 0.250 0.500 (multiplicity 4)
Mn 0.000 0.000 0.500 (multiplicity 2)
S 0.015 0.223 0.321 (multiplicity 8)
S 0.234 0.500 0.702 (multiplicity 4)
S 0.247 0.000 0.705 (multiplicity 4)



Entry 3:
DFT (PBE-GGA) results for a relaxed structure of Mn2AlSe.

Cell: 5.550 7.135 3.029 Å, 90.00 90.52 90.00°
Space group C2/m (No. 12)
Symmetry-distinct sites (fractional):
Mn 0.250 0.250 0.000 (multiplicity 4)
Al 0.000 0.000 0.500 (multiplicity 2)
Se 0.000 0.500 0.500 (multiplicity 2)

Results
Distance to the lowest polymorph of the same formula, eV/f.u.: 0.48



Entry 4:
DFT (PBE-GGA) results for a relaxed structure of Sn2PdAu2.

Cell: 4.326 4.326 12.384 Å, 90.00 90.00 90.00°
Space group I4/mmm (No. 139)
Symmetry-distinct sites (fractional):
Sn 0.000 0.500 0.250 (multiplicity 4)
Pd 0.000 0.000 0.000 (multiplicity 2)
Au 0.000 0.000 0.395 (multiplicity 4)

Results
Energy relative to the elements, eV/atom: 0.235
Distance to the lowest polymorph of the same formula, eV/f.u.: 2.32



Entry 5:
DFT (PBE-GGA) results for a relaxed structure of PmSi2Pd7.

Cell: 7.325 11.755 4.516 Å, 90.00 90.00 90.00°
Space group Cmmm (No. 65)
Symmetry-distinct sites (fractional):
Pm 0.000 0.000 0.000 (multiplicity 2)
Si 0.000 0.302 0.500 (multiplicity 4)
Pd 0.000 0.247 0.000 (multiplicity 4)
Pd 0.000 0.500 0.500 (multiplicity 2)
Pd 0.191 0.131 0.500 (multiplicity 8)



Entry 6:
DFT (PBE-GGA) results for a relaxed structure of Re3IrSe.

Cell: 4.470 4.470 4.470 Å, 90.00 90.00 90.00°
Space group Pm-3m (No. 221)
Symmetry-distinct sites (fractional):
Re 0.000 0.000 0.500 (multiplicity 3)
Ir 0.500 0.500 0.500 (multiplicity 1)
Se 0.000 0.000 0.000 (multiplicity 1)

Results
Distance to the lowest polymorph of the same formula, eV/f.u.: 0.00



Entry 7:
DFT (PBE-GGA) results for a relaxed structure of Ca3TmTl12.

Cell: 4.863 4.863 19.108 Å, 90.00 90.00 90.00°
Space group P4/mmm (No. 123)
Symmetry-distinct sites (fractional):
Ca 0.000 0.000 0.000 (multiplicity 1)
Ca 0.000 0.000 0.254 (multiplicity 2)
Tm 0.000 0.000 0.500 (multiplicity 1)
Tl 0.000 0.500 0.126 (multiplicity 4)
Tl 0.000 0.500 0.379 (multiplicity 4)
Tl 0.500 0.500 0.000 (multiplicity 1)
Tl 0.500 0.500 0.252 (multiplicity 2)
Tl 0.500 0.500 0.500 (multiplicity 1)

Results
Energy relative to the elements, eV/atom: -0.216



Entry 8:
DFT (PBE-GGA) results for a relaxed structure of GaSICl2.

Cell: 5.561 5.561 5.174 Å, 90.00 90.00 90.00°
Space group P4/mmm (No. 123)
Symmetry-distinct sites (fractional):
Ga 0.000 0.000 0.000 (multiplicity 1)
S 0.500 0.500 0.000 (multiplicity 1)
I 0.500 0.500 0.500 (multiplicity 1)
Cl 0.000 0.500 0.500 (multiplicity 2)

Results
Distance to the lowest polymorph of the same formula, eV/f.u.: 1.35



Entry 9:
DFT (PBE-GGA) results for a relaxed structure of K2PuPd2O6.

Cell: 6.295 9.200 7.030 Å, 90.00 115.80 90.00°
Space group C2/m (No. 12)
Symmetry-distinct sites (fractional):
K 0.000 0.182 0.000 (multiplicity 4)
Pu 0.000 0.000 0.500 (multiplicity 2)
Pd 0.000 0.334 0.500 (multiplicity 4)
O 0.171 0.162 0.701 (multiplicity 8)
O 0.228 0.500 0.663 (multiplicity 4)



Entry 10:
DFT (PBE-GGA) results for a relaxed structure of K2MgI2Br2.

Cell: 16.395 4.486 8.150 Å, 90.00 119.32 90.00°
Space group C2/m (No. 12)
Symmetry-distinct sites (fractional):
K 0.158 0.000 0.119 (multiplicity 4)
Mg 0.000 0.000 0.500 (multiplicity 2)
I 0.023 0.500 0.270 (multiplicity 4)
Br 0.179 0.000 0.728 (multiplicity 4)



Entry 11:
DFT (PBE-GGA) results for a relaxed structure of LaPbCl5.

Cell: 10.947 10.112 10.934 Å, 90.00 116.85 90.00°
Space group C2/c (No. 15)
Symmetry-distinct sites (fractional):
La 0.250 0.250 0.000 (multiplicity 4)
Pb 0.000 0.094 0.250 (multiplicity 4)
Cl 0.000 0.227 0.750 (multiplicity 4)
Cl 0.106 0.290 0.152 (multiplicity 8)
Cl 0.217 0.020 0.514 (multiplicity 8)



Entry 12:
DFT (PBE-GGA) results for a relaxed structure of NaCo2W.

Cell: 6.707 6.707 5.611 Å, 90.00 90.00 90.00°
Space group I-42d (No. 122)
Symmetry-distinct sites (fractional):
Na 0.000 0.000 0.000 (multiplicity 4)
Co 0.211 0.250 0.625 (multiplicity 8)
W 0.000 0.000 0.500 (multiplicity 4)

Results
Energy relative to the elements, eV/atom: 1.006
Distance to the lowest polymorph of the same formula, eV/f.u.: 1.21



Raw total energy in eV per cell, matching the order above: -46.83, -216.73, -50.39, -37.16, -112.77, -40.27, -42.34, -11.72, -146.81, -40.36, -121.73, -97.84